1.
Density functional theory data (GGA-PBE) for MgTl2 after structural relaxation.

The structure in POSCAR format:
```
MgTl2
1.0
5.176 0.000 0.000
0.000 5.176 0.000
0.000 0.000 3.353
Tl Mg
2 1
Direct
0.000 0.500 0.500
0.500 0.000 0.500
0.000 0.000 0.000
```

Values from the calculation:
**Energy above the lowest structure with this stoichiometry**: 7.71 kJ per mole of atoms

2.
Density functional theory data (GGA-PBE) for Mg6Tl5 after structural relaxation.

The structure in POSCAR format:
```
Mg6Tl5
1.0
-1.205 -3.218 3.690
7.107 -0.829 1.595
-3.377 7.814 2.268
Mg Tl
6 5
Direct
0.500 0.767 0.000
0.500 0.233 0.000
0.843 0.079 0.684
0.842 0.605 0.684
0.157 0.921 0.316
0.158 0.395 0.316
0.000 0.500 0.000
0.666 0.666 0.333
0.334 0.334 0.667
0.334 0.834 0.667
0.666 0.166 0.333
```

Values from the calculation:
**Energy above the lowest structure with this stoichiometry**: 0.00 kJ per mole of atoms

3.
Density functional theory data (GGA-PBE) for MgTl3 after structural relaxation.

The structure in POSCAR format:
```
MgTl3
1.0
3.472 0.000 0.000
-1.736 3.007 0.000
0.000 0.000 10.850
Tl Mg
3 1
Direct
0.000 0.000 0.500
0.667 0.333 0.231
0.667 0.333 0.769
0.000 0.000 0.000
```

Values from the calculation:
**VASP energy**: -2.16 eV/atom

4.
Density functional theory data (GGA-PBE) for Mg3Tl after structural relaxation.

The structure in POSCAR format:
```
Mg3Tl
1.0
6.411 0.000 0.000
-3.206 5.552 0.000
0.000 0.000 5.202
Mg Tl
6 2
Direct
0.836 0.672 0.250
0.328 0.164 0.250
0.836 0.164 0.250
0.164 0.328 0.750
0.672 0.836 0.750
0.164 0.836 0.750
0.333 0.667 0.250
0.667 0.333 0.750
```

Values from the calculation:
**VASP energy**: -1.83 eV/atom

5.
Density functional theory data (GGA-PBE) for Mg3Tl after structural relaxation.

The structure in POSCAR format:
```
Mg3Tl
1.0
3.332 0.015 -0.023
-0.032 5.525 0.044
-1.641 -2.727 5.169
Mg Tl
3 1
Direct
0.248 0.797 0.489
0.497 0.389 0.988
0.747 0.297 0.488
0.997 0.887 0.988
```

Values from the calculation:
**VASP energy**: -1.82 eV/atom

6.
Density functional theory data (GGA-PBE) for MgTl3 after structural relaxation.

The structure in POSCAR format:
```
MgTl3
1.0
6.757 0.000 0.000
-3.378 5.852 0.000
0.000 0.000 5.709
Mg Tl
2 6
Direct
0.333 0.667 0.250
0.667 0.333 0.750
0.833 0.665 0.250
0.335 0.167 0.250
0.833 0.167 0.250
0.167 0.335 0.750
0.665 0.833 0.750
0.167 0.833 0.750
```

Values from the calculation:
**VASP energy**: -2.14 eV/atom

7.
Density functional theory data (GGA-PBE) for Mg6Tl5 after structural relaxation.

The structure in POSCAR format:
```
Mg6Tl5
1.0
-8.227 0.310 -0.647
-4.491 -5.875 1.587
-2.499 1.741 5.003
Mg Tl
6 5
Direct
0.816 0.000 0.707
0.184 0.000 0.293
0.318 0.743 0.815
0.938 0.743 0.185
0.682 0.257 0.185
0.062 0.257 0.815
0.500 0.000 0.500
0.351 0.297 0.000
0.649 0.703 0.000
0.216 0.568 0.500
0.784 0.432 0.500
```

Values from the calculation:
**Energy above the lowest structure with this stoichiometry**: 2.37 kJ per mole of atoms

8.
Density functional theory data (GGA-PBE) for MgTl2 after structural relaxation.

The structure in POSCAR format:
```
MgTl2
1.0
5.470 0.000 0.000
-2.735 4.738 0.000
0.000 0.000 6.406
Mg Tl
2 4
Direct
0.333 0.667 0.250
0.667 0.333 0.750
0.000 0.000 0.000
0.000 0.000 0.500
0.333 0.667 0.750
0.667 0.333 0.250
```

Values from the calculation:
**Energy above the lowest structure with this stoichiometry**: 6.03 kJ per mole of atoms

9.
Density functional theory data (GGA-PBE) for MgTl2 after structural relaxation.

The structure in POSCAR format:
```
MgTl2
1.0
-1.048 6.297 1.825
-4.958 3.173 3.072
4.171 -5.304 -0.211
Tl Mg
2 1
Direct
0.162 0.162 0.010
0.838 0.838 0.990
0.500 0.500 0.000
```

Values from the calculation:
**Energy above the lowest structure with this stoichiometry**: 1.22 kJ per mole of atoms

10.
Density functional theory data (GGA-PBE) for MgTl3 after structural relaxation.

The structure in POSCAR format:
```
MgTl3
1.0
-2.698 0.395 -4.722
-1.280 -4.504 -2.793
-5.194 -1.628 -0.317
Tl Mg
3 1
Direct
0.000 0.000 0.000
0.500 0.500 0.500
0.250 0.250 0.250
0.750 0.750 0.750
```

Values from the calculation:
**VASP energy**: -2.14 eV/atom

11.
Density functional theory data (GGA-PBE) for MgTl2 after structural relaxation.

The structure in POSCAR format:
```
MgTl2
1.0
1.239 -6.047 1.660
-4.451 -4.515 -0.816
0.763 -4.461 -4.514
Mg Tl
2 4
Direct
0.500 0.500 0.500
0.750 0.750 0.750
0.625 0.125 0.125
0.125 0.625 0.125
0.125 0.125 0.625
0.125 0.125 0.125
```

Values from the calculation:
**Energy above the lowest structure with this stoichiometry**: 21.86 kJ per mole of atoms

12.
Density functional theory data (GGA-PBE) for MgTl3 after structural relaxation.

The structure in POSCAR format:
```
MgTl3
1.0
6.789 0.049 0.000
-3.349 5.803 0.000
0.000 0.000 5.723
Mg Tl
2 6
Direct
0.992 0.496 0.000
0.341 0.670 0.500
0.995 0.997 0.000
0.488 0.496 0.000
0.488 0.992 0.000
0.339 0.169 0.500
0.845 0.670 0.500
0.845 0.175 0.500
```

Values from the calculation:
**VASP energy**: -2.15 eV/atom

13.
Density functional theory data (GGA-PBE) for MgTl3 after structural relaxation.

The structure in POSCAR format:
```
MgTl3
1.0
5.616 0.000 0.000
0.000 3.448 -0.196
0.000 1.081 5.811
Tl Mg
3 1
Direct
0.500 0.794 0.755
0.000 0.500 0.500
0.500 0.206 0.245
0.000 0.000 0.000
```

Values from the calculation:
**VASP energy**: -2.15 eV/atom

14.
Density functional theory data (GGA-PBE) for MgTl2 after structural relaxation.

The structure in POSCAR format:
```
MgTl2
1.0
-2.244 -3.498 2.234
0.058 -0.555 -5.794
5.886 -2.601 1.837
Mg Tl
2 4
Direct
0.163 0.327 0.829
0.837 0.673 0.171
0.172 0.344 0.319
0.828 0.656 0.681
0.500 0.000 0.500
0.500 0.000 0.000
```

Values from the calculation:
**Energy above the lowest structure with this stoichiometry**: 3.37 kJ per mole of atoms

15.
Density functional theory data (GGA-PBE) for Mg3Tl after structural relaxation.

The structure in POSCAR format:
```
Mg3Tl
1.0
-2.571 -2.867 5.233
6.216 0.251 -0.534
0.033 4.681 2.580
Mg Tl
6 2
Direct
0.999 0.000 0.000
0.491 0.495 0.000
0.491 0.996 0.000
0.334 0.167 0.500
0.842 0.671 0.500
0.842 0.170 0.500
0.973 0.486 0.000
0.361 0.680 0.500
```

Values from the calculation:
**VASP energy**: -1.80 eV/atom

16.
Density functional theory data (GGA-PBE) for MgTl6 after structural relaxation.

The structure in POSCAR format:
```
MgTl6
1.0
-6.096 -4.155 0.779
3.993 -2.518 -5.723
4.056 -0.373 6.200
Mg Tl
1 6
Direct
0.000 0.000 0.000
0.250 0.750 0.500
0.500 0.750 0.250
0.250 0.500 0.750
0.750 0.250 0.500
0.500 0.250 0.750
0.750 0.500 0.250
```

Values from the calculation:
**Energy above the lowest structure with this stoichiometry**: 42.43 kJ per mole of atoms

17.
Density functional theory data (GGA-PBE) for MgTl2 after structural relaxation.

The structure in POSCAR format:
```
MgTl2
1.0
-1.019 2.983 5.630
-0.828 -6.382 -0.465
9.674 -1.438 2.513
Tl Mg
8 4
Direct
0.000 0.000 0.000
0.000 0.000 0.500
0.827 0.654 0.250
0.173 0.346 0.750
0.346 0.173 0.250
0.827 0.173 0.250
0.173 0.827 0.750
0.654 0.827 0.750
0.333 0.667 0.074
0.667 0.333 0.574
0.667 0.333 0.926
0.333 0.667 0.426
```

Values from the calculation:
**Energy above the lowest structure with this stoichiometry**: 18.94 kJ per mole of atoms

18.
Density functional theory data (GGA-PBE) for Mg4Tl3 after structural relaxation.

The structure in POSCAR format:
```
Mg4Tl3
1.0
-5.025 3.445 0.732
-0.447 -5.587 -2.500
-0.811 -2.311 5.310
Mg Tl
4 3
Direct
0.000 0.000 0.261
0.000 0.000 0.739
0.667 0.333 0.500
0.333 0.667 0.500
0.000 0.500 0.000
0.500 0.500 0.000
0.500 0.000 0.000
```

Values from the calculation:
**Energy above the lowest structure with this stoichiometry**: 14.37 kJ per mole of atoms

19.
Density functional theory data (GGA-PBE) for MgTl3 after structural relaxation.

The structure in POSCAR format:
```
MgTl3
1.0
6.413 0.000 0.000
0.000 7.381 0.000
0.000 0.000 9.662
Mg Tl
4 12
Direct
0.614 0.892 0.750
0.114 0.608 0.250
0.886 0.392 0.750
0.386 0.108 0.250
0.131 0.003 0.750
0.631 0.497 0.250
0.369 0.503 0.750
0.869 0.997 0.250
0.625 0.200 0.970
0.125 0.300 0.030
0.875 0.700 0.530
0.375 0.800 0.470
0.375 0.800 0.030
0.875 0.700 0.970
0.125 0.300 0.470
0.625 0.200 0.530
```

Values from the calculation:
**VASP energy**: -2.15 eV/atom

20.
Density functional theory data (GGA-PBE) for MgTl3 after structural relaxation.

The structure in POSCAR format:
```
MgTl3
1.0
5.823 0.029 0.000
-1.843 5.524 0.000
0.000 0.000 3.460
Tl Mg
3 1
Direct
0.000 0.500 0.500
0.500 0.000 0.500
0.500 0.500 0.000
0.000 0.000 0.000
```

Values from the calculation:
**VASP energy**: -2.17 eV/atom